Hf3TaBi | PBE | relaxed

As for the total magnetic moment: 0.000 μB/cell.

The structure belongs to space group Pm-3m (No. 221); the cell edges are 5.139, 5.139 and 5.139 Å and the angles 90.00°, 90.00° and 90.00°. Symmetry generates all atoms from Hf at (0.000, 0.000, 0.500), Ta at (0.000, 0.000, 0.000) and Bi at (0.500, 0.500, 0.500).

***

HfTa3Bi | PBE | relaxed

As for the total magnetic moment: 0.000 μB/cell.

The structure belongs to space group Pm-3m (No. 221); the cell edges are 4.989, 4.989 and 4.989 Å and the angles 90.00°, 90.00° and 90.00°. Symmetry generates all atoms from Hf at (0.000, 0.000, 0.000), Ta at (0.000, 0.000, 0.500) and Bi at (0.500, 0.500, 0.500).

***

HfTaBi2 | PBE | relaxed

As for the total magnetic moment: 6.811 μB/cell.

The structure belongs to space group I-42d (No. 122); the cell edges are 6.465, 6.465 and 13.596 Å and the angles 90.00°, 90.00° and 90.00°. Symmetry generates all atoms from Hf at (0.000, 0.000, 0.000), Ta at (0.000, 0.000, 0.500) and Bi at (0.239, 0.250, 0.625).

***

HfTaBi3 | PBE | relaxed

As for the total magnetic moment: 0.000 μB/cell.

The structure belongs to space group Pm-3m (No. 221); the cell edges are 5.461, 5.461 and 5.461 Å and the angles 90.00°, 90.00° and 90.00°. Symmetry generates all atoms from Hf at (0.000, 0.000, 0.000), Ta at (0.500, 0.500, 0.500) and Bi at (0.000, 0.500, 0.500).

***

HfTaBi2 | PBE | relaxed

As for the total magnetic moment: 0.000 μB/cell.

The structure belongs to space group Fm-3m (No. 225); the cell edges are 7.137, 7.137 and 7.137 Å and the angles 90.00°, 90.00° and 90.00°. Symmetry generates all atoms from Hf at (0.000, 0.000, 0.000), Ta at (0.000, 0.000, 0.500) and Bi at (0.250, 0.250, 0.250).

***

HfTaTiBi2 | PBE | relaxed

As for the total magnetic moment: 0.000 μB/cell.

The structure belongs to space group P4/mmm (No. 123); the cell edges are 5.276, 5.276 and 4.723 Å and the angles 90.00°, 90.00° and 90.00°. Symmetry generates all atoms from Hf at (0.000, 0.000, 0.000), Ta at (0.500, 0.500, 0.000), Ti at (0.500, 0.500, 0.500) and Bi at (0.000, 0.500, 0.500).

***

Ordered E results: -8.195, -8.155, -6.257, -5.636, -7.114, -6.484; unit eV/atom.